Below is a relaxed HgTe2Mo crystal, with properties calculated at the PBE level.

Cell: 3.195 3.195 10.092 Å, 90.00 90.00 90.00°
Atoms (fractional coordinates):
Hg (0.000, 0.000, 0.000)
Te (0.000, 0.000, 0.352)
Te (0.500, 0.500, 0.704)
Mo (0.500, 0.500, 0.191)

Output
Crystal system ... tetragonal
Final energy ... -4.093 eV per atom
Volume ... 25.76 Å³ per atom
Space group ... No. 99
ΔE_f (raw) ... 0.261 eV per atom


Below is a relaxed HgTeMo crystal, with properties calculated at the PBE level.

Cell: 8.210 7.938 3.194 Å, 83.42 73.85 22.74°
Atoms (fractional coordinates):
Hg (0.000, 0.000, 0.000)
Te (0.281, 0.281, 0.719)
Mo (0.649, 0.649, 0.351)

Output
Crystal system ... orthorhombic
Final energy ... -4.191 eV per atom
Volume ... 23.80 Å³ per atom
Space group ... No. 42
ΔE_f (raw) ... 0.567 eV per atom


Below is a relaxed HgTe2Mo crystal, with properties calculated at the PBE level.

Cell: 11.207 11.207 11.207 Å, 16.83 16.83 16.83°
Atoms (fractional coordinates):
Hg (0.000, 0.000, 0.000)
Te (0.241, 0.241, 0.241)
Te (0.459, 0.459, 0.459)
Mo (0.736, 0.736, 0.736)

Output
Crystal system ... trigonal
Final energy ... -4.114 eV per atom
Volume ... 25.73 Å³ per atom
Space group ... No. 160
ΔE_f (raw) ... 0.240 eV per atom


Below is a relaxed HgTeMo3 crystal, with properties calculated at the PBE level.

Cell: 4.896 4.896 4.896 Å, 90.00 90.00 90.00°
Atoms (fractional coordinates):
Hg (0.000, 0.000, 0.000)
Te (0.500, 0.500, 0.500)
Mo (0.000, 0.500, 0.500)
Mo (0.500, 0.000, 0.500)
Mo (0.500, 0.500, 0.000)

Output
Crystal system ... cubic
Final energy ... -5.399 eV per atom
Volume ... 23.47 Å³ per atom
Space group ... No. 221
ΔE_f (raw) ... 1.788 eV per atom


ΔE_f (raw) of number 3 (HgTe2Mo)?
0.240 eV per atom